[1]
An optimized crystal structure of Pm5ErBi4. Source: Alexandria via LeMat-Bulk, functional GGA-PBE.

The structure in POSCAR format:
```
Pm5ErBi4
1.0
4.4622 0.0000 0.0000
0.0000 8.6709 -0.6446
-2.2311 -1.9182 9.4827
Bi Pm Er
4 5 1
direct
0.3332 0.9169 0.6664 Bi
0.9922 0.7491 0.9844 Bi
0.0078 0.2509 0.0156 Bi
0.6668 0.0831 0.3336 Bi
0.8356 0.1820 0.6712 Pm
0.5000 0.5000 0.0000 Pm
0.1783 0.3519 0.3566 Pm
0.8217 0.6481 0.6434 Pm
0.1644 0.8180 0.3288 Pm
0.5000 0.0000 0.0000 Er
```

Output
Its density of states at the Fermi level is 6.802 states/eV per cell. The formation energy is -0.5368 eV per atom.

---

[2]
An optimized crystal structure of Pm3ErBi3. Source: Alexandria via LeMat-Bulk, functional GGA-PBE.

The structure in POSCAR format:
```
Pm3ErBi3
1.0
9.5532 0.0000 0.0000
0.0000 9.5532 0.0000
0.0000 0.0000 9.5532
Bi Pm Er
12 12 4
direct
0.7564 0.6280 0.9977 Bi
0.3720 0.4977 0.7436 Bi
0.7436 0.3720 0.4977 Bi
0.2436 0.1280 0.5023 Bi
0.9977 0.7564 0.6280 Bi
0.1280 0.5023 0.2436 Bi
0.8720 0.0023 0.2564 Bi
0.6280 0.9977 0.7564 Bi
0.5023 0.2436 0.1280 Bi
0.4977 0.7436 0.3720 Bi
0.0023 0.2564 0.8720 Bi
0.2564 0.8720 0.0023 Bi
0.4323 0.5677 0.0677 Pm
0.1781 0.1781 0.1781 Pm
0.6781 0.3219 0.8219 Pm
0.3219 0.8219 0.6781 Pm
0.8219 0.6781 0.3219 Pm
0.9323 0.9323 0.9323 Pm
0.6757 0.6757 0.6757 Pm
0.3243 0.1757 0.8243 Pm
0.0677 0.4323 0.5677 Pm
0.5677 0.0677 0.4323 Pm
0.8243 0.3243 0.1757 Pm
0.1757 0.8243 0.3243 Pm
0.9257 0.0743 0.5743 Er
0.5743 0.9257 0.0743 Er
0.0743 0.5743 0.9257 Er
0.4257 0.4257 0.4257 Er
```

Output
The energy above the lowest structure with this stoichiometry comes out at 0.000 eV per atom. Its density of states at the Fermi level is 32.201 states/eV per cell. The formation energy is -0.7812 eV per atom.

---

[3]
An optimized crystal structure of Pm5Er3Bi8. Source: Alexandria via LeMat-Bulk, functional GGA-PBE.

The structure in POSCAR format:
```
Pm5Er3Bi8
1.0
-2.8911 7.8764 3.4317
-4.0617 0.1957 8.1017
4.2425 3.6761 7.1095
Bi Pm Er
8 5 3
direct
0.7500 0.7500 0.2560 Bi
0.7530 0.7530 0.7410 Bi
0.2470 0.2470 0.2590 Bi
0.7560 0.2500 0.7440 Bi
0.2440 0.7500 0.2560 Bi
0.7500 0.2440 0.2560 Bi
0.2500 0.2500 0.7440 Bi
0.2500 0.7560 0.7440 Bi
0.5000 0.5000 0.0000 Pm
0.0000 0.5000 0.0000 Pm
0.0000 0.0000 0.0000 Pm
0.5000 0.5000 0.5000 Pm
0.5000 0.0000 0.0000 Pm
0.0000 0.0000 0.5000 Er
0.5000 0.0000 0.5000 Er
0.0000 0.5000 0.5000 Er
```

Output
Its density of states at the Fermi level is 2.847 states/eV per cell. The formation energy is -0.8881 eV per atom.

---

[4]
An optimized crystal structure of Pm4ErBi5. Source: Alexandria via LeMat-Bulk, functional GGA-PBE.

The structure in POSCAR format:
```
Pm4ErBi5
1.0
-4.8502 0.5717 4.2021
-0.2962 -5.7578 5.3806
1.8078 4.1433 6.4619
Bi Pm Er
5 4 1
direct
0.9019 0.3941 0.8038 Bi
0.2961 0.8038 0.6059 Bi
0.0999 0.6059 0.1962 Bi
0.5014 0.0000 0.0000 Bi
0.7058 0.1962 0.3941 Bi
0.2003 0.2028 0.3984 Pm
0.8015 0.7972 0.6016 Pm
0.5988 0.6016 0.2028 Pm
0.4031 0.3984 0.7972 Pm
0.0015 0.0000 0.0000 Er
```

Output
Its density of states at the Fermi level is 1.655 states/eV per cell. The formation energy is -0.9109 eV per atom.

---

[5]
An optimized crystal structure of PmEr5Bi4. Source: Alexandria via LeMat-Bulk, functional GGA-PBE.

The structure in POSCAR format:
```
PmEr5Bi4
1.0
-2.6154 -2.5061 -2.5018
-1.2420 -4.6793 5.9857
-5.4450 10.1098 -0.5616
Er Bi Pm
5 4 1
direct
0.5000 0.5000 0.0000 Er
0.1967 0.7815 0.3935 Er
0.1889 0.2919 0.3778 Er
0.8111 0.7081 0.6222 Er
0.8033 0.2185 0.6065 Er
0.9356 0.6449 0.8711 Bi
0.6361 0.9447 0.2721 Bi
0.0644 0.3551 0.1289 Bi
0.3639 0.0553 0.7279 Bi
0.5000 0.0000 0.0000 Pm
```

Output
Its density of states at the Fermi level is 7.646 states/eV per cell. The formation energy is -0.5422 eV per atom.

---

[6]
An optimized crystal structure of Pm4Er3Bi8. Source: Alexandria via LeMat-Bulk, functional GGA-PBE.

The structure in POSCAR format:
```
Pm4Er3Bi8
1.0
-8.8789 0.5610 1.6331
2.9701 -2.1061 -8.2322
4.8277 -6.7605 3.4662
Bi Er Pm
8 3 4
direct
0.5145 0.2609 0.2609 Bi
0.4855 0.7391 0.7391 Bi
0.0073 0.2604 0.2604 Bi
0.5000 0.2528 0.7472 Bi
0.0000 0.7430 0.2570 Bi
0.9927 0.7396 0.7396 Bi
0.5000 0.7472 0.2528 Bi
0.0000 0.2570 0.7430 Bi
0.5000 0.5000 0.0000 Er
0.5000 0.0000 0.5000 Er
0.5000 0.5000 0.5000 Er
0.0000 0.0000 0.0000 Pm
0.0000 0.5000 0.0000 Pm
0.0000 0.0000 0.5000 Pm
0.5000 0.0000 0.0000 Pm
```

Output
Its density of states at the Fermi level is 8.339 states/eV per cell. The formation energy is -0.6906 eV per atom.

---

[7]
An optimized crystal structure of Pm2Er2Bi3. Source: Alexandria via LeMat-Bulk, functional GGA-PBE.

The structure in POSCAR format:
```
Pm2Er2Bi3
1.0
-3.5554 2.1024 1.8869
-0.6285 -5.5431 4.9919
6.2301 3.2327 2.6726
Pm Bi Er
2 3 2
direct
0.6229 0.8516 0.2458 Pm
0.3771 0.1484 0.7542 Pm
0.2630 0.7433 0.5260 Bi
0.0000 0.0000 0.0000 Bi
0.7370 0.2567 0.4740 Bi
0.8833 0.6139 0.7665 Er
0.1167 0.3861 0.2335 Er
```

Output
Its density of states at the Fermi level is 2.939 states/eV per cell. The formation energy is -0.6027 eV per atom.

---

[8]
An optimized crystal structure of PmErBi2. Source: Alexandria via LeMat-Bulk, functional GGA-PBE.

The structure in POSCAR format:
```
PmErBi2
1.0
-1.0082 -2.7007 4.7291
-2.2196 -5.0727 -0.1270
3.0661 -4.3998 1.3842
Pm Bi Er
1 2 1
direct
0.0000 0.0000 0.0000 Pm
0.2500 0.2500 0.2500 Bi
0.7500 0.7500 0.7500 Bi
0.5000 0.5000 0.5000 Er
```

Output
The energy above the lowest structure with this stoichiometry comes out at 0.258 eV per atom. Its density of states at the Fermi level is 2.631 states/eV per cell. The formation energy is -0.6160 eV per atom.

---

[9]
An optimized crystal structure of Pm4ErBi5. Source: Alexandria via LeMat-Bulk, functional GGA-PBE.

The structure in POSCAR format:
```
Pm4ErBi5
1.0
4.5551 0.0000 0.0000
0.0000 4.5551 0.0000
-2.2775 -2.2775 16.0851
Bi Pm Er
5 4 1
direct
0.9018 0.9018 0.8036 Bi
0.5000 0.5000 0.0000 Bi
0.2999 0.2999 0.5998 Bi
0.7001 0.7001 0.4002 Bi
0.0982 0.0982 0.1964 Bi
0.1992 0.1992 0.3984 Pm
0.5997 0.5997 0.1993 Pm
0.8008 0.8008 0.6016 Pm
0.4003 0.4003 0.8007 Pm
0.0000 0.0000 0.0000 Er
```

Output
Its density of states at the Fermi level is 1.215 states/eV per cell. The formation energy is -0.9117 eV per atom.

---

[10]
An optimized crystal structure of PmEr5Bi5. Source: Alexandria via LeMat-Bulk, functional GGA-PBE.

The structure in POSCAR format:
```
PmEr5Bi5
1.0
6.2700 0.0000 0.0000
-3.1350 6.9375 -0.0694
0.0000 -2.6717 8.4163
Bi Er Pm
5 5 1
direct
0.1692 0.3384 0.3408 Bi
0.8275 0.6551 0.1719 Bi
0.1725 0.3449 0.8281 Bi
0.8308 0.6616 0.6592 Bi
0.5000 0.0000 0.0000 Bi
0.6601 0.3202 0.3363 Er
0.3348 0.6696 0.1693 Er
0.0000 0.0000 0.5000 Er
0.6652 0.3304 0.8307 Er
0.3399 0.6798 0.6637 Er
0.0000 0.0000 0.0000 Pm
```

Output
Its density of states at the Fermi level is 4.134 states/eV per cell. The formation energy is -0.6301 eV per atom.

---

[11]
An optimized crystal structure of Pm2Er5Bi4. Source: Alexandria via LeMat-Bulk, functional GGA-PBE.

The structure in POSCAR format:
```
Pm2Er5Bi4
1.0
3.3953 0.0000 0.0000
0.0000 6.1518 0.1050
-1.6977 -1.1282 17.2479
Er Bi Pm
5 4 2
direct
0.8807 0.6002 0.7614 Er
0.1193 0.3998 0.2386 Er
0.8771 0.0980 0.7542 Er
0.5000 0.0000 0.0000 Er
0.1229 0.9020 0.2458 Er
0.3062 0.3297 0.6124 Bi
0.6938 0.6703 0.3876 Bi
0.0431 0.6316 0.0862 Bi
0.9569 0.3684 0.9138 Bi
0.2136 0.1802 0.4273 Pm
0.7864 0.8198 0.5727 Pm
```

Output
Its density of states at the Fermi level is 13.309 states/eV per cell. The formation energy is -0.0691 eV per atom.

---

[12]
An optimized crystal structure of PmEr3Bi2. Source: Alexandria via LeMat-Bulk, functional GGA-PBE.

The structure in POSCAR format:
```
PmEr3Bi2
1.0
4.3412 0.0000 0.0000
-2.1706 10.5662 -0.6199
0.0000 -5.3426 8.3598
Er Pm Bi
6 2 4
direct
0.6377 0.2754 0.7974 Er
0.6885 0.3770 0.4877 Er
0.3623 0.7246 0.2026 Er
0.3115 0.6230 0.5123 Er
0.9428 0.8855 0.5559 Er
0.0572 0.1145 0.4441 Er
0.8887 0.7773 0.8942 Pm
0.1113 0.2227 0.1058 Pm
0.7517 0.5035 0.2140 Bi
0.2483 0.4965 0.7860 Bi
0.4887 0.9775 0.8205 Bi
0.5113 0.0225 0.1795 Bi
```

Output
The energy above the lowest structure with this stoichiometry comes out at 0.076 eV per atom. Its density of states at the Fermi level is 11.976 states/eV per cell. The formation energy is -0.4823 eV per atom.